[1]
SrCdSi2 | PBE-GGA | relaxed

Cell lengths 5.6490, 5.6490, 5.6490 Å; angles 134.03, 134.03, 67.04 degrees
With the nearest neighbours (Å) after each atom.
Positions (direct):
Cd 0.7500 0.2500 0.5000  8 Si 3.12-3.23, 4 Sr 3.23
Sr 0.5000 0.5000 0.0000  8 Si 3.12-3.23, 4 Cd 3.23
Si 0.2500 0.7500 0.5000  4 Cd 3.12, 4 Sr 3.23, 4 Si 3.23
Si 0.0000 0.0000 0.0000  4 Sr 3.12, 4 Si 3.23, 4 Cd 3.23

Results
The total energy is -12.741 eV per cell. The magnetization is 0.000 μB/atom. The formation energy (no corrections) comes out at 0.18 eV per atom.

***

[2]
SrCdSi2 | PBE-GGA | relaxed

Cell lengths 3.5064, 3.5064, 7.4197 Å; angles 90.00, 90.00, 93.23 degrees
With the nearest neighbours (Å) after each atom.
Positions (direct):
Si 0.0000 0.0000 0.0533  4 Si 2.57-2.70
Si 0.5000 0.5000 0.1723  4 Si 2.57-2.70, 1 Cd 2.76
Cd 0.5000 0.5000 0.8002  3 Si 2.76-3.05
Sr 0.0000 0.0000 0.4742  5 Si 3.12-3.39, 2 Cd 3.41

Results
The total energy is -13.371 eV per cell. The magnetization is 0.000 μB/atom. The formation energy (no corrections) comes out at 0.02 eV per atom.

***

[3]
SrCd2Si | PBE-GGA | relaxed

Cell lengths 5.0720, 5.0720, 10.0763 Å; angles 75.42, 75.42, 90.00 degrees
With the nearest neighbours (Å) after each atom.
Positions (direct):
Cd 0.2679 0.6250 0.2500  2 Si 2.73, 2 Cd 2.76
Cd 0.4821 0.1250 0.2500  2 Si 2.73, 2 Cd 2.76
Cd 0.3750 0.5179 0.7500  2 Si 2.73, 2 Cd 2.76
Cd 0.8750 0.7321 0.7500  2 Si 2.73, 2 Cd 2.76
Si 0.5000 0.5000 0.0000  4 Cd 2.73
Si 0.2500 0.7500 0.5000  4 Cd 2.73
Sr 0.0000 0.0000 0.0000  4 Cd 3.33, 4 Si 3.59
Sr 0.7500 0.2500 0.5000  4 Cd 3.33, 4 Si 3.59

Results
The total energy is -17.399 eV per cell. The magnetization is 0.000 μB/atom. The formation energy (no corrections) comes out at 0.06 eV per atom.

***

[4]
SrCdSi2 | PBE-GGA | relaxed

Cell lengths 4.8454, 4.8454, 9.8591 Å; angles 75.77, 75.77, 90.00 degrees
With the nearest neighbours (Å) after each atom.
Positions (direct):
Sr 0.2500 0.7500 0.5000  4 Si 3.34, 4 Cd 3.43
Sr 0.5000 0.5000 0.0000  4 Si 3.34, 4 Cd 3.43
Si 0.8055 0.1250 0.2500  2 Si 2.51, 2 Cd 2.63
Si 0.3750 0.1945 0.7500  2 Si 2.51, 2 Cd 2.63
Si 0.8750 0.0555 0.7500  2 Si 2.51, 2 Cd 2.63
Si 0.9445 0.6250 0.2500  2 Si 2.51, 2 Cd 2.63
Cd 0.0000 0.0000 0.0000  4 Si 2.63
Cd 0.7500 0.2500 0.5000  4 Si 2.63

Results
The total energy is -26.220 eV per cell. The magnetization is 0.000 μB/atom. The formation energy (no corrections) comes out at 0.08 eV per atom.

***

[5]
SrCd2Si | PBE-GGA | relaxed

Cell lengths 3.6700, 3.6700, 7.5708 Å; angles 90.00, 90.00, 90.00 degrees
With the nearest neighbours (Å) after each atom.
Positions (direct):
Si 0.5000 0.5000 0.2500  8 Cd 3.01
Cd 0.0000 0.0000 0.0499  4 Si 3.01, 1 Cd 3.03
Cd 0.0000 0.0000 0.4501  4 Si 3.01, 1 Cd 3.03
Sr 0.5000 0.5000 0.7500  8 Cd 3.45, 4 Sr 3.67, 2 Si 3.79

Results
The total energy is -8.777 eV per cell. The magnetization is 0.000 μB/atom. The formation energy (no corrections) comes out at 0.04 eV per atom.

***

[6]
SrCdSi2Tc | PBE-GGA | relaxed

Cell lengths 4.6903, 4.6903, 5.2261 Å; angles 90.00, 90.00, 90.00 degrees
With the nearest neighbours (Å) after each atom.
Positions (direct):
Cd 0.0000 0.0000 0.5000  2 Tc 2.61
Si 0.0000 0.5000 0.0000  2 Tc 2.35
Si 0.5000 0.0000 0.0000  2 Tc 2.35
Sr 0.5000 0.5000 0.5000  4 Cd 3.32, 8 Si 3.51
Tc 0.0000 0.0000 0.0000  4 Si 2.35, 2 Cd 2.61

Results
The total energy is -24.359 eV per cell. The magnetization is 0.000 μB/atom. The formation energy (no corrections) comes out at -0.11 eV per atom.

***

[7]
SrCd2SiW | PBE-GGA | relaxed

Cell lengths 5.3215, 4.7968, 5.3215 Å; angles 90.00, 90.00, 90.00 degrees
With the nearest neighbours (Å) after each atom.
Positions (direct):
Si 0.0000 0.5000 0.0000  2 W 2.40
Sr 0.5000 0.5000 0.5000  8 Cd 3.58, 4 Si 3.76
W 0.0000 0.0000 0.0000  2 Si 2.40, 4 Cd 2.66
Cd 0.0000 0.0000 0.5000  2 W 2.66
Cd 0.5000 0.0000 0.0000  2 W 2.66

Results
The total energy is -20.441 eV per cell. The magnetization is 0.000 μB/atom. The formation energy (no corrections) comes out at 0.29 eV per atom.

***

[8]
Sr2CdSiW | PBE-GGA | relaxed

Cell lengths 5.9283, 4.7803, 5.9283 Å; angles 90.00, 90.00, 90.00 degrees
With the nearest neighbours (Å) after each atom.
Positions (direct):
Sr 0.0000 0.0000 0.5000  2 W 2.96
Sr 0.5000 0.0000 0.0000  2 W 2.96
W 0.0000 0.0000 0.0000  2 Si 2.39
Cd 0.5000 0.5000 0.5000  8 Sr 3.81, 4 Si 4.19
Si 0.0000 0.5000 0.0000  2 W 2.39

Results
The total energy is -19.488 eV per cell. The magnetization is 0.000 μB/atom. The formation energy (no corrections) comes out at 0.63 eV per atom.